[1]
Density functional theory data (PBE) for a relaxed structure of CrInMoP2.

Cell and atoms, written as POSCAR:
```
CrInMoP2
1.0
4.3442 0.0000 0.0000
0.0000 5.1330 0.0000
0.0000 0.0000 4.3442
P Mo In Cr
2 1 1 1
direct
0.5000 0.0000 0.0000
0.0000 0.0000 0.5000
0.5000 0.5000 0.5000
0.0000 0.5000 0.0000
0.0000 0.0000 0.0000
```

Results
- Magnetization: 3.98 Bohr magnetons per cell
- ΔE_f: 0.8717 eV/atom
- Space-group type: P4/mmm

=====

[2]
Density functional theory data (PBE) for a relaxed structure of Sr3HgAs.

Cell and atoms, written as POSCAR:
```
Sr3HgAs
1.0
-2.4407 -1.5630 -5.2317
0.5229 -5.7711 1.4802
-5.4351 0.1467 2.4917
Sr Hg As
3 1 1
direct
0.5000 0.0000 0.0000
0.0000 0.5000 0.0000
0.0000 0.0000 0.5000
0.5000 0.5000 0.5000
0.0000 0.0000 0.0000
```

Results
- Magnetization: 0.00 Bohr magnetons per cell
- ΔE_f: -0.5650 eV/atom
- ΔE to the lowest computed polymorph: 0 meV per atom
- Space-group type: Pm-3m